*1*
Below is a relaxed Pr2Y7Tm3 crystal, with properties calculated at the GGA-PBE level.

Unit cell a=3.5215 b=6.3716 c=17.9864 alpha=75.44 beta=90.00 gamma=90.00
Element x y z (fractional)
Y  0.0000  0.0000  0.0000
Y  0.0000  0.5613  0.1625
Y  0.0000  0.4387  0.8375
Y  0.5000  0.2410  0.5017
Y  0.5000  0.9384  0.8322
Y  0.5000  0.7590  0.4983
Y  0.5000  0.0616  0.1678
Tm  0.5000  0.5000  0.0000
Tm  0.0000  0.8897  0.6575
Tm  0.0000  0.1103  0.3425
Pr  0.5000  0.3869  0.6729
Pr  0.5000  0.6131  0.3271

Calculated values
Space group ... No. 10
Total moment ... 0.0 Bohr magnetons per cell

*2*
Below is a relaxed Pr2Y7Tm3 crystal, with properties calculated at the GGA-PBE level.

Unit cell a=3.6054 b=5.7956 c=18.7708 alpha=93.86 beta=90.00 gamma=90.00
Element x y z (fractional)
Tm  0.0000  0.7786  0.6299
Tm  0.5000  0.5000  0.0000
Tm  0.0000  0.2214  0.3701
Pr  0.5000  0.2949  0.7052
Pr  0.5000  0.7051  0.2948
Y  0.5000  0.2585  0.5375
Y  0.5000  0.1810  0.1767
Y  0.5000  0.7415  0.4625
Y  0.0000  0.0000  0.0000
Y  0.0000  0.6770  0.1413
Y  0.0000  0.3230  0.8587
Y  0.5000  0.8190  0.8233

Calculated values
Space group ... No. 10
Total moment ... 0.0 Bohr magnetons per cell

Verdict on stability: *1* comes out on top.

*1*
Below is a relaxed Pr4YTm3 crystal, with properties calculated at the GGA-PBE level.

Unit cell a=6.3185 b=7.3468 c=11.6008 alpha=90.00 beta=90.00 gamma=90.00
Element x y z (fractional)
Tm  0.4814  0.3808  0.7496
Tm  0.1472  0.3837  0.5000
Tm  0.6472  0.6163  0.0000
Tm  0.9814  0.6192  0.2496
Tm  0.9814  0.6192  0.7504
Tm  0.4814  0.3808  0.2504
Pr  0.9825  0.1289  0.7449
Pr  0.4825  0.8711  0.2449
Pr  0.9825  0.1289  0.2551
Pr  0.6379  0.1282  0.5000
Pr  0.6515  0.1306  0.0000
Pr  0.1379  0.8718  0.0000
Pr  0.1515  0.8694  0.5000
Pr  0.4825  0.8711  0.7551
Y  0.1510  0.3785  0.0000
Y  0.6510  0.6215  0.5000

Calculated values
Space group ... No. 31
Total moment ... 0.0 Bohr magnetons per cell

*2*
Below is a relaxed Pr4YTm3 crystal, with properties calculated at the GGA-PBE level.

Unit cell a=3.6222 b=6.2258 c=13.0592 alpha=113.60 beta=97.97 gamma=90.00
Element x y z (fractional)
Tm  0.8776  0.6296  0.7553
Tm  0.0000  0.5000  0.0000
Tm  0.1224  0.3704  0.2447
Pr  0.6220  0.8693  0.2439
Pr  0.2512  0.2527  0.5023
Pr  0.7488  0.7473  0.4977
Pr  0.3780  0.1307  0.7561
Y  0.5000  0.0000  0.0000

Calculated values
Space group ... No. 12
Total moment ... 0.0 Bohr magnetons per cell

Verdict on stability: *2* comes out on top.